1.
A plane-wave DFT calculation with PBE was carried out for a relaxed structure of KCu2Pt.

Unit cell a=4.1868 b=2.8081 c=7.1540 alpha=78.73 beta=90.00 gamma=90.00
Fractional positions:
1 Cu 0.0000 0.2109 0.9510
2 Cu 0.5000 0.1014 0.1728
3 K 0.0000 0.4347 0.5083
4 Pt 0.5000 0.7530 0.8679

Results
* distance to the lowest polymorph of the same formula: 0.024 eV per atom
* formation enthalpy at 0 K: 72 kJ/mol of formula units
* crystal system: monoclinic

2.
A plane-wave DFT calculation with PBE was carried out for a relaxed structure of KCuPt.

Unit cell a=4.8664 b=4.8664 c=2.8963 alpha=90.00 beta=90.00 gamma=120.00
Fractional positions:
1 Cu 0.0000 0.0000 0.8326
2 K 0.6667 0.3333 0.3337
3 Pt 0.3333 0.6667 0.8337

Results
* distance to the lowest polymorph of the same formula: 0.396 eV per atom
* formation enthalpy at 0 K: 107 kJ/mol of formula units
* crystal system: hexagonal

3.
A plane-wave DFT calculation with PBE was carried out for a relaxed structure of KCuPt2Rh.

Unit cell a=4.6671 b=4.9601 c=4.6671 alpha=90.00 beta=90.00 gamma=90.00
Each line ends with the local moment (μB).
Fractional positions:
1 K 0.0000 0.5000 0.0000  0.00
2 Rh 0.5000 0.5000 0.5000  1.13
3 Cu 0.0000 0.0000 0.0000  0.01
4 Pt 0.0000 0.0000 0.5000  0.07
5 Pt 0.5000 0.0000 0.0000  0.14

Results
* formation enthalpy at 0 K: 544 kJ/mol of formula units
* crystal system: tetragonal

4.
A plane-wave DFT calculation with PBE was carried out for a relaxed structure of KCuPtS2.

Unit cell a=4.0656 b=6.8135 c=7.3845 alpha=89.87 beta=90.00 gamma=90.00
Fractional positions:
1 K 0.9992 0.5000 0.7500
2 K 0.0008 0.5000 0.2500
3 Cu 0.0000 0.0000 0.0000
4 Cu 0.0000 0.0000 0.5000
5 Pt 0.5000 0.0000 0.2500
6 Pt 0.5000 0.0000 0.7500
7 S 0.5030 0.7759 0.0004
8 S 0.5030 0.2241 0.4996
9 S 0.4970 0.7759 0.5004
10 S 0.4970 0.2241 0.9996

Results
* crystal system: monoclinic
* formation energy from raw total energies: -12.74 kcal/mol of atoms

5.
A plane-wave DFT calculation with PBE was carried out for a relaxed structure of K2CuSiPt.

Unit cell a=6.4580 b=4.4382 c=6.4580 alpha=90.00 beta=90.00 gamma=90.00
Fractional positions:
1 K 0.0000 0.0000 0.5000
2 K 0.5000 0.0000 0.0000
3 Si 0.0000 0.0000 0.0000
4 Cu 0.5000 0.5000 0.5000
5 Pt 0.0000 0.5000 0.0000

Results
* crystal system: tetragonal
* formation energy from raw total energies: 7.33 kcal/mol of atoms

6.
A plane-wave DFT calculation with PBE was carried out for a relaxed structure of K2CuSn3Pt4.

Unit cell a=4.6137 b=4.6137 c=10.8460 alpha=90.00 beta=90.00 gamma=90.00
Fractional positions:
1 K 0.5000 0.0000 0.2563
2 K 0.0000 0.5000 0.7437
3 Cu 0.5000 0.5000 0.5000
4 Sn 0.0000 0.0000 0.5000
5 Sn 0.5000 0.0000 0.8707
6 Sn 0.0000 0.5000 0.1293
7 Pt 0.5000 0.5000 0.0000
8 Pt 0.0000 0.0000 0.0000
9 Pt 0.5000 0.0000 0.6238
10 Pt 0.0000 0.5000 0.3762

Results
* formation enthalpy at 0 K: -350 kJ/mol of formula units
* crystal system: tetragonal

7.
A plane-wave DFT calculation with PBE was carried out for a relaxed structure of KCuTePt2.

Unit cell a=4.9521 b=5.9414 c=4.9521 alpha=90.00 beta=90.00 gamma=90.00
Fractional positions:
1 K 0.0000 0.0000 0.0000
2 Te 0.0000 0.5000 0.0000
3 Cu 0.5000 0.5000 0.5000
4 Pt 0.0000 0.0000 0.5000
5 Pt 0.5000 0.0000 0.0000

Results
* crystal system: tetragonal
* formation energy from raw total energies: 44.42 kcal/mol of atoms

8.
A plane-wave DFT calculation with PBE was carried out for a relaxed structure of KPu2CuS5.

Unit cell a=7.5865 b=7.5865 c=8.6567 alpha=115.99 beta=115.99 gamma=90.00
Each line ends with the local moment (μB).
Fractional positions:
1 K 0.2500 0.2500 0.5000  0.00
2 K 0.7500 0.7500 0.5000  0.00
3 Pu 0.1660 0.3340 0.0000  4.68
4 Pu 0.6660 0.1660 0.0000  4.68
5 Pu 0.3340 0.8340 0.0000  4.68
6 Pu 0.8340 0.6660 0.0000  4.68
7 Cu 0.2500 0.7500 0.5000  -0.22
8 Cu 0.7500 0.2500 0.5000  -0.22
9 S 0.9823 0.4823 0.2521  -0.19
10 S 0.7302 0.2302 0.7479  -0.19
11 S 0.0177 0.5177 0.7479  -0.19
12 S 0.2302 0.0177 0.7479  -0.19
13 S 0.5177 0.7302 0.7479  -0.19
14 S 0.7698 0.9823 0.2521  -0.19
15 S 0.4823 0.2698 0.2521  -0.19
16 S 0.2698 0.7698 0.2521  -0.19
17 S 0.5000 0.5000 0.0000  -0.23
18 S 0.0000 0.0000 0.0000  -0.23

Results
* crystal system: tetragonal
* formation energy from raw total energies: -28.19 kcal/mol of atoms

9.
A plane-wave DFT calculation with PBE was carried out for a relaxed structure of K2Pu2CuS6.

Unit cell a=6.9719 b=6.9719 c=7.7991 alpha=97.22 beta=97.22 gamma=124.27
Each line ends with the local moment (μB).
Fractional positions:
1 K 0.8472 0.1528 0.0000  -0.01
2 K 0.1528 0.8472 0.0000  -0.01
3 Pu 0.3371 0.6629 0.5000  4.40
4 Pu 0.6629 0.3371 0.5000  4.40
5 Cu 0.0000 0.0000 0.5000  -0.26
6 S 0.7564 0.7564 0.6673  -0.16
7 S 0.0540 0.4208 0.6981  -0.21
8 S 0.2436 0.2436 0.3327  -0.16
9 S 0.4208 0.0540 0.6981  -0.21
10 S 0.9460 0.5792 0.3019  -0.21
11 S 0.5792 0.9460 0.3019  -0.21

Results
* crystal system: monoclinic
* formation energy from raw total energies: -26.41 kcal/mol of atoms

10.
A plane-wave DFT calculation with PBE was carried out for a relaxed structure of K2PuCuS4.

Unit cell a=8.3449 b=8.3449 c=8.1617 alpha=119.31 beta=119.31 gamma=94.46
Each line ends with the local moment (μB).
Fractional positions:
1 K 0.5000 0.0000 0.0000  -0.01
2 K 0.5000 0.0000 0.5000  -0.01
3 K 0.0000 0.0000 0.5000  -0.01
4 K 0.5000 0.5000 0.0000  -0.01
5 Pu 0.0000 0.5000 0.0000  4.54
6 Pu 0.0000 0.5000 0.5000  4.54
7 Cu 0.5000 0.5000 0.5000  -0.18
8 Cu 0.0000 0.0000 0.0000  -0.18
9 S 0.2220 0.7089 0.9656  -0.15
10 S 0.7911 0.2781 0.5344  -0.15
11 S 0.2089 0.7219 0.4656  -0.15
12 S 0.7781 0.2911 0.0344  -0.15
13 S 0.7744 0.7241 0.9349  -0.19
14 S 0.7759 0.7256 0.5651  -0.19
15 S 0.2241 0.2744 0.4349  -0.19
16 S 0.2256 0.2759 0.0651  -0.19

Results
* crystal system: monoclinic
* formation energy from raw total energies: -22.03 kcal/mol of atoms